<A>
Material: ZnGeN2F
Method: DFT, GGA-PBE
State: relaxed

The structure belongs to space group P4/mmm (No. 123); the cell edges are 3.951, 3.951 and 4.082 Å and the angles 90.00°, 90.00° and 90.00°. The distinct sites, in fractional coordinates, are Zn at (0.000, 0.000, 0.000), Ge at (0.500, 0.500, 0.500), N at (0.000, 0.500, 0.000) and F at (0.000, 0.000, 0.500).

Its crystal system is tetragonal.


<B>
Material: ZnGeN2F
Method: DFT, GGA-PBE
State: relaxed

The structure belongs to space group P4/mmm (No. 123); the cell edges are 3.799, 3.799 and 3.877 Å and the angles 90.00°, 90.00° and 90.00°. The distinct sites, in fractional coordinates, are Zn at (0.000, 0.000, 0.000), Ge at (0.500, 0.500, 0.500), N at (0.000, 0.500, 0.500) and F at (0.500, 0.500, 0.000).

Its crystal system is tetragonal.


Tell me which of them is the least stable. Sure, it is <A>.


<A>
Material: Na2GeF
Method: DFT, GGA-PBE
State: relaxed

The structure belongs to space group I-42d (No. 122); the cell edges are 6.591, 6.591 and 8.130 Å and the angles 90.00°, 90.00° and 90.00°. The distinct sites, in fractional coordinates, are Na at (0.140, 0.250, 0.125), Ge at (0.000, 0.000, 0.500) and F at (0.000, 0.000, 0.000).

Its crystal system is tetragonal.


<B>
Material: Na2GeF
Method: DFT, GGA-PBE
State: relaxed

The structure belongs to space group Fm-3m (No. 225); the cell edges are 6.985, 6.985 and 6.985 Å and the angles 90.00°, 90.00° and 90.00°. The distinct sites, in fractional coordinates, are Na at (0.250, 0.250, 0.250), Ge at (0.000, 0.000, 0.000) and F at (0.000, 0.000, 0.500).

Its crystal system is cubic.


Tell me which of them is the least stable. Sure, it is <B>.


<A>
Material: NaGe3F
Method: DFT, GGA-PBE
State: relaxed

The structure belongs to space group Pm-3m (No. 221); the cell edges are 5.088, 5.088 and 5.088 Å and the angles 90.00°, 90.00° and 90.00°. The distinct sites, in fractional coordinates, are Na at (0.000, 0.000, 0.000), Ge at (0.000, 0.000, 0.500) and F at (0.500, 0.500, 0.500).

Its crystal system is cubic.


<B>
Material: NaGe3F
Method: DFT, GGA-PBE
State: relaxed

The structure belongs to space group Pm-3m (No. 221); the cell edges are 4.703, 4.703 and 4.703 Å and the angles 90.00°, 90.00° and 90.00°. The distinct sites, in fractional coordinates, are Na at (0.000, 0.000, 0.000), Ge at (0.000, 0.500, 0.500) and F at (0.500, 0.500, 0.500).

Its crystal system is cubic.


Tell me which of them is the least stable. Sure, it is <A>.


<A>
Material: NaGe2F
Method: DFT, GGA-PBE
State: relaxed

The structure belongs to space group Fm-3m (No. 225); the cell edges are 6.666, 6.666 and 6.666 Å and the angles 90.00°, 90.00° and 90.00°. The distinct sites, in fractional coordinates, are Na at (0.000, 0.000, 0.000), Ge at (0.250, 0.250, 0.250) and F at (0.000, 0.000, 0.500).

Its crystal system is cubic.


<B>
Material: NaGe2F
Method: DFT, GGA-PBE
State: relaxed

The structure belongs to space group I-42d (No. 122); the cell edges are 3.532, 3.532 and 28.147 Å and the angles 90.00°, 90.00° and 90.00°. The distinct sites, in fractional coordinates, are Na at (0.000, 0.000, 0.000), Ge at (0.247, 0.250, 0.125) and F at (0.000, 0.000, 0.500).

Its crystal system is tetragonal.


Tell me which of them is the least stable. Sure, it is <A>.


<A>
Material: NaGe2F8
Method: DFT, GGA-PBE
State: relaxed

The structure belongs to space group C2/m (No. 12); the cell edges are 9.547, 6.332 and 5.348 Å and the angles 90.00°, 97.93° and 90.00°. The distinct sites, in fractional coordinates, are Na at (0.000, 0.000, 0.000), Ge at (0.224, 0.500, 0.479), F at (0.107, 0.500, 0.713), F at (0.144, 0.208, 0.347) and F at (0.187, 0.000, 0.798).

Its crystal system is monoclinic.


<B>
Material: NaGe2F8
Method: DFT, GGA-PBE
State: relaxed

The structure belongs to space group P-3 (No. 147); the cell edges are 6.9008, 6.9008 and 3.9760 Å and the angles 90.00°, 90.00° and 120.00°. The distinct sites, in fractional coordinates, are Na at (0.0000, 0.0000, 0.0000), Ge at (0.3333, 0.6667, 0.2509), F at (0.1824, 0.8157, 0.2506) and F at (0.3333, 0.6667, 0.7491).

Its crystal system is trigonal.


Tell me which of them is the least stable. Sure, it is <A>.


<A>
Material: NaGeF2
Method: DFT, GGA-PBE
State: relaxed

The structure belongs to space group I-42d (No. 122); the cell edges are 5.866, 5.866 and 8.158 Å and the angles 90.00°, 90.00° and 90.00°. The distinct sites, in fractional coordinates, are Na at (0.000, 0.000, 0.000), Ge at (0.000, 0.000, 0.500) and F at (0.224, 0.250, 0.125).

Its crystal system is tetragonal.


<B>
Material: NaGeF2
Method: DFT, GGA-PBE
State: relaxed

The structure belongs to space group R-3m (No. 166, hexagonal axes); the cell edges are 3.1769, 3.1769 and 20.4073 Å and the angles 90.00°, 90.00° and 120.00°. The distinct sites, in fractional coordinates, are Na at (0.0000, 0.0000, 0.0000), Ge at (0.0000, 0.0000, 0.5000) and F at (0.0000, 0.0000, 0.3983).

Its crystal system is trigonal.


<C>
Material: NaGeF2
Method: DFT, GGA-PBE
State: relaxed

The structure belongs to space group Fm-3m (No. 225); the cell edges are 6.153, 6.153 and 6.153 Å and the angles 90.00°, 90.00° and 90.00°. The distinct sites, in fractional coordinates, are Na at (0.000, 0.000, 0.000), Ge at (0.000, 0.000, 0.500) and F at (0.250, 0.250, 0.250).

Its crystal system is cubic.


<D>
Material: NaGeF2
Method: DFT, GGA-PBE
State: relaxed

The structure belongs to space group R-3m (No. 166, hexagonal axes); the cell edges are 3.8973, 3.8973 and 17.9705 Å and the angles 90.00°, 90.00° and 120.00°. The distinct sites, in fractional coordinates, are Na at (0.0000, 0.0000, 0.0000), Ge at (0.0000, 0.0000, 0.5000) and F at (0.0000, 0.0000, 0.1204).

Its crystal system is trigonal.


Tell me which of them is the least stable. Sure, it is <C>.


<A>
Material: Nb2GeF
Method: DFT, GGA-PBE
State: relaxed

The structure belongs to space group I-42d (No. 122); the cell edges are 4.478, 4.478 and 14.720 Å and the angles 90.00°, 90.00° and 90.00°. The distinct sites, in fractional coordinates, are Nb at (0.169, 0.250, 0.125), Ge at (0.000, 0.000, 0.500) and F at (0.000, 0.000, 0.000).

Its crystal system is tetragonal.


<B>
Material: Nb2GeF
Method: DFT, GGA-PBE
State: relaxed

The structure belongs to space group Fm-3m (No. 225); the cell edges are 6.264, 6.264 and 6.264 Å and the angles 90.00°, 90.00° and 90.00°. The distinct sites, in fractional coordinates, are Nb at (0.250, 0.250, 0.250), Ge at (0.000, 0.000, 0.000) and F at (0.000, 0.000, 0.500).

Its crystal system is cubic.


Tell me which of them is the least stable. Sure, it is <A>.